Entry from Alexandria via LeMat-Bulk: a relaxed structure of CsTc3W (PBE).

The structure in CIF format:
```
data_CsTc3W
_chemical_formula_sum 'Cs1 Tc3 W1'
_cell_length_a 4.9463
_cell_length_b 4.9463
_cell_length_c 4.9463
_cell_angle_alpha 90.00
_cell_angle_beta 90.00
_cell_angle_gamma 90.00
_symmetry_space_group_name_H-M 'P 1'
_symmetry_Int_Tables_number 1
loop_
_symmetry_equiv_pos_as_xyz
'x,y,z'
loop_
_atom_site_label
_atom_site_type_symbol
_atom_site_fract_x
_atom_site_fract_y
_atom_site_fract_z
Cs1 Cs 0.0000 0.0000 0.0000
Tc1 Tc 0.0000 0.5000 0.5000
Tc2 Tc 0.5000 0.0000 0.5000
Tc3 Tc 0.5000 0.5000 0.0000
W1 W 0.5000 0.5000 0.5000
```

## Properties
theoretical density = 8.38 Mg/m³
total magnetization = 4.74 μB/f.u.
V = 24.20 Å³ per atom
ΔE to the lowest computed polymorph = 0.000 kcal/mol of atoms
formation energy from the elements = 9.28 eV/f.u.
crystal system = cubic
DFT total energy = -7.1257 eV/atom